(1)
Compound: CrCd2Br
Source: Alexandria
Functional: PBE-GGA
Structure: relaxed

POSCAR file:
```
CrCd2Br
1.0
5.433 -0.013 -0.008
-2.467 4.841 -0.008
0.010 0.016 3.557
Br Cr Cd
1 1 2
Direct
0.000 0.500 0.500
0.500 0.000 0.500
0.500 0.500 0.000
0.000 0.000 0.000
```


(2)
Compound: CrCd2Br
Source: Alexandria
Functional: PBE-GGA
Structure: relaxed

POSCAR file:
```
CrCd2Br
1.0
-0.032 5.262 4.572
-2.492 6.024 2.469
-3.032 -0.878 3.226
Cr Br Cd
1 1 2
Direct
0.750 0.750 0.750
0.250 0.250 0.250
0.458 0.458 0.542
0.042 0.042 0.958
```


(3)
Compound: CrCd2Br
Source: Alexandria
Functional: PBE-GGA
Structure: relaxed

POSCAR file:
```
CrCd2Br
1.0
5.718 -0.041 0.000
2.369 5.205 0.000
-4.044 -2.582 3.112
Cd Cr Br
2 1 1
Direct
0.250 0.750 0.500
0.000 0.000 0.000
0.500 0.500 0.000
0.750 0.250 0.500
```


Stability summary - winner: (2); margin: 37 meV/atom.


(1)
Compound: CrCd2Br
Source: Alexandria
Functional: PBE-GGA
Structure: relaxed

POSCAR file:
```
CrCd2Br
1.0
-3.352 3.853 1.366
-4.874 0.732 1.910
-0.952 1.744 7.343
Br Cd Cr
1 2 1
Direct
0.209 0.209 0.286
0.764 0.764 0.745
0.986 0.986 0.900
0.541 0.541 0.569
```


(2)
Compound: CrCd2Br
Source: Alexandria
Functional: PBE-GGA
Structure: relaxed

POSCAR file:
```
CrCd2Br
1.0
3.335 0.000 0.000
0.000 3.335 0.000
0.000 0.000 8.487
Cd Br Cr
2 1 1
Direct
0.000 0.000 0.038
0.500 0.500 0.279
0.500 0.500 0.684
0.000 0.000 0.499
```


Stability summary - winner: (1); margin: 19 meV/atom.


(1)
Compound: CrCd2Br
Source: Alexandria
Functional: PBE-GGA
Structure: relaxed

POSCAR file:
```
CrCd2Br
1.0
5.188 0.000 0.000
2.594 4.493 0.000
2.594 1.498 4.236
Br Cd Cr
1 2 1
Direct
0.500 0.500 0.500
0.250 0.250 0.250
0.000 0.000 0.000
0.750 0.750 0.750
```


(2)
Compound: CrCd2Br
Source: Alexandria
Functional: PBE-GGA
Structure: relaxed

POSCAR file:
```
CrCd2Br
1.0
-0.773 3.316 -0.562
-2.027 0.224 4.108
5.368 1.685 2.557
Br Cr Cd
1 1 2
Direct
0.000 0.500 0.500
0.500 0.000 0.500
0.500 0.500 0.000
0.000 0.000 0.000
```


Stability summary - winner: (2); margin: 150 meV/atom.


(1)
Compound: CrCd2Br
Source: Alexandria
Functional: PBE-GGA
Structure: relaxed

POSCAR file:
```
CrCd2Br
1.0
-4.265 -5.968 5.074
-4.721 -7.347 1.811
-1.700 -7.976 3.610
Cd Cr Br
2 1 1
Direct
0.994 0.994 0.994
0.242 0.242 0.242
0.498 0.498 0.498
0.766 0.766 0.766
```


(2)
Compound: CrCd2Br
Source: Alexandria
Functional: PBE-GGA
Structure: relaxed

POSCAR file:
```
CrCd2Br
1.0
6.628 0.012 0.000
4.140 5.176 0.000
-5.384 -2.594 2.866
Cd Br Cr
2 1 1
Direct
0.000 0.000 0.000
0.500 0.500 0.000
0.750 0.250 0.500
0.250 0.750 0.500
```


(3)
Compound: CrCd2Br
Source: Alexandria
Functional: PBE-GGA
Structure: relaxed

POSCAR file:
```
CrCd2Br
1.0
3.364 0.278 0.000
-0.442 3.346 0.000
0.000 0.000 7.983
Br Cd Cr
1 2 1
Direct
0.500 0.500 0.750
0.000 0.000 0.472
0.000 0.000 0.028
0.500 0.500 0.250
```


Stability summary - winner: (1); margin: 62 meV/atom.


(1)
Compound: CrCd2Br
Source: Alexandria
Functional: PBE-GGA
Structure: relaxed

POSCAR file:
```
CrCd2Br
1.0
4.596 -2.054 1.440
2.635 2.051 4.033
0.388 -2.656 4.496
Cd Br Cr
2 1 1
Direct
0.750 0.750 0.750
0.250 0.250 0.250
0.500 0.500 0.500
0.000 0.000 0.000
```


(2)
Compound: CrCd2Br
Source: Alexandria
Functional: PBE-GGA
Structure: relaxed

POSCAR file:
```
CrCd2Br
1.0
-2.387 6.590 -0.759
-5.263 2.629 -3.885
2.626 -4.282 4.947
Cd Br Cr
2 1 1
Direct
0.670 0.170 0.500
0.023 0.023 0.000
0.322 0.822 0.500
0.484 0.484 0.000
```


Stability summary - winner: (2); margin: 370 meV/atom.


(1)
Compound: CrCd2Br
Source: Alexandria
Functional: PBE-GGA
Structure: relaxed

POSCAR file:
```
CrCd2Br
1.0
-3.939 3.503 0.068
-0.016 -0.121 5.270
2.254 2.533 0.065
Cr Cd Br
1 2 1
Direct
0.500 0.000 0.500
0.000 0.000 0.000
0.500 0.500 0.000
0.000 0.500 0.500
```


(2)
Compound: CrCd2Br
Source: Alexandria
Functional: PBE-GGA
Structure: relaxed

POSCAR file:
```
CrCd2Br
1.0
-2.469 -7.027 -4.794
1.086 -7.103 -5.179
-0.430 -8.548 -2.280
Cd Cr Br
2 1 1
Direct
0.996 0.996 0.996
0.504 0.504 0.504
0.250 0.250 0.250
0.750 0.750 0.750
```


Stability summary - winner: (2); margin: 150 meV/atom.